# 1
Below is crystalline CdCoRh2 at its relaxed geometry, with properties calculated at the PBE-GGA level.

Energy relative to the elements   0.183 eV/atom
Polymorph energy (0 for the lowest one)   0.155 eV/atom
Size of the total moment   1.6 Bohr magnetons per cell
Space group   R3m
Final energy   -21.993 eV per formula unit

Lattice parameters (Å, degrees): 9.037 9.037 9.037 17.69 17.69 17.69
Fractional coordinates of all 4 atoms:
Cd  0.498  0.498  0.498
Co  0.744  0.744  0.744
Rh  0.004  0.004  0.004
Rh  0.255  0.255  0.255

***

# 2
Below is crystalline TmHf3Rh4 at its relaxed geometry, with properties calculated at the PBE-GGA level.

Energy relative to the elements   -0.887 eV/atom
Size of the total moment   0.0 Bohr magnetons per cell
Space group   P4/mmm
Final energy   -70.833 eV per formula unit

Lattice parameters (Å, degrees): 4.644 6.635 9.287 90.00 90.00 90.00
Fractional coordinates of all 16 atoms:
Rh  0.500  0.759  0.000
Rh  0.500  0.759  0.500
Rh  0.500  0.241  0.000
Rh  0.500  0.241  0.500
Rh  0.000  0.759  0.750
Rh  0.000  0.759  0.250
Rh  0.000  0.241  0.250
Rh  0.000  0.241  0.750
Tm  0.000  0.500  0.000
Tm  0.000  0.500  0.500
Hf  0.000  0.000  0.000
Hf  0.000  0.000  0.500
Hf  0.500  0.000  0.750
Hf  0.500  0.000  0.250
Hf  0.500  0.500  0.750
Hf  0.500  0.500  0.250